{"formula": "Nb2ZnN", "functional": "GGA-PBE", "state": "optimized geometry", "e_tot_ev_per_atom": -7.976, "lattice_angstrom": [[3.138, 0.000, 0.000], [-1.569, 2.718, 0.000], [0.000, 0.000, 13.540]], "species": ["Nb", "Nb", "Nb", "Nb", "Zn", "Zn", "N", "N"], "frac_coords": [[0.333, 0.667, 0.088], [0.333, 0.667, 0.412], [0.667, 0.333, 0.588], [0.667, 0.333, 0.912], [0.333, 0.667, 0.750], [0.667, 0.333, 0.250], [0.000, 0.000, 0.000], [0.000, 0.000, 0.500]]}

{"formula": "Pr2Au2O5", "functional": "GGA-PBE", "state": "optimized geometry", "de_polymorph_ev_per_atom": 0.0000, "lattice_angstrom": [[4.208, 0.000, 0.000], [0.000, 4.208, 0.000], [0.000, 0.000, 7.150]], "species": ["Pr", "Pr", "Au", "Au", "O", "O", "O", "O", "O"], "frac_coords": [[0.000, 0.000, 0.000], [0.000, 0.000, 0.500], [0.500, 0.500, 0.193], [0.500, 0.500, 0.807], [0.000, 0.500, 0.228], [0.000, 0.500, 0.772], [0.500, 0.000, 0.228], [0.500, 0.000, 0.772], [0.500, 0.500, 0.500]]}

{"formula": "Fe3C", "functional": "GGA-PBE", "state": "optimized geometry", "e_tot_ev_per_atom": -8.488, "lattice_angstrom": [[5.028, 0.000, 0.000], [0.000, 6.720, 0.000], [0.000, 0.000, 4.470]], "species": ["Fe", "Fe", "Fe", "Fe", "Fe", "Fe", "Fe", "Fe", "Fe", "Fe", "Fe", "Fe", "C", "C", "C", "C"], "frac_coords": [[0.036, 0.250, 0.163], [0.177, 0.068, 0.668], [0.177, 0.432, 0.668], [0.323, 0.568, 0.168], [0.323, 0.932, 0.168], [0.464, 0.750, 0.663], [0.536, 0.250, 0.337], [0.677, 0.068, 0.832], [0.677, 0.432, 0.832], [0.823, 0.568, 0.332], [0.823, 0.932, 0.332], [0.964, 0.750, 0.837], [0.123, 0.750, 0.437], [0.377, 0.250, 0.937], [0.623, 0.750, 0.063], [0.877, 0.250, 0.563]]}

{"formula": "BaSnIr2", "functional": "GGA-PBE", "state": "optimized geometry", "e_tot_ev_per_atom": -6.102, "lattice_angstrom": [[6.132, 0.000, 0.000], [0.000, 4.673, 0.000], [-0.300, 0.000, 7.598]], "species": ["Ba", "Ba", "Sn", "Sn", "Ir", "Ir", "Ir", "Ir"], "frac_coords": [[0.114, 0.250, 0.265], [0.886, 0.750, 0.735], [0.381, 0.250, 0.723], [0.619, 0.750, 0.277], [0.393, 0.750, 0.575], [0.450, 0.750, 0.949], [0.550, 0.250, 0.051], [0.607, 0.250, 0.425]]}

{"formula": "Ba2ZrS2O2", "functional": "GGA-PBE", "state": "optimized geometry", "de_polymorph_ev_per_atom": 0.0000, "lattice_angstrom": [[-2.177, 2.177, 7.932], [2.177, -2.177, 7.932], [2.177, 2.177, -7.932]], "species": ["Ba", "Ba", "Zr", "S", "S", "O", "O"], "frac_coords": [[0.133, 0.133, 0.000], [0.867, 0.867, 0.000], [0.500, 0.500, 0.000], [0.336, 0.336, 0.000], [0.664, 0.664, 0.000], [0.000, 0.500, 0.500], [0.500, 0.000, 0.500]]}

{"formula": "GaNiOs2", "functional": "GGA-PBE", "state": "optimized geometry", "e_tot_ev_per_atom": -7.522, "lattice_angstrom": [[0.000, 3.013, 3.013], [3.013, 0.000, 3.013], [3.013, 3.013, 0.000]], "species": ["Ga", "Ni", "Os", "Os"], "frac_coords": [[0.000, 0.000, 0.000], [0.250, 0.250, 0.250], [0.500, 0.500, 0.500], [0.750, 0.750, 0.750]]}

{"formula": "YTeAuO", "functional": "GGA-PBE", "state": "optimized geometry", "de_polymorph_ev_per_atom": 0.0411, "lattice_angstrom": [[4.032, 0.000, 0.000], [0.000, 4.032, 0.000], [0.000, 0.000, 10.054]], "species": ["Y", "Y", "Te", "Te", "Au", "Au", "O", "O"], "frac_coords": [[0.250, 0.250, 0.107], [0.750, 0.750, 0.893], [0.250, 0.250, 0.714], [0.750, 0.750, 0.286], [0.250, 0.750, 0.500], [0.750, 0.250, 0.500], [0.250, 0.750, 0.000], [0.750, 0.250, 0.000]]}

{"formula": "TaPb4F2", "functional": "GGA-PBE", "state": "optimized geometry", "e_tot_ev_per_atom": -4.824, "lattice_angstrom": [[4.006, -6.228, 0.000], [4.006, 6.228, 0.000], [0.000, 0.000, 3.226]], "species": ["Ta", "Pb", "Pb", "Pb", "Pb", "F", "F"], "frac_coords": [[0.000, 0.000, 0.000], [0.238, 0.762, 0.000], [0.305, 0.305, 0.500], [0.695, 0.695, 0.500], [0.762, 0.238, 0.000], [0.000, 0.500, 0.500], [0.500, 0.000, 0.500]]}